Below is crystalline Na2TlBi2 at its relaxed geometry, with properties calculated at the PBE-GGA level.

Cell and atoms, written as extended XYZ:
```
10
Lattice="-6.422 -4.702 -4.860 -3.182 -3.812 7.894 -2.304 2.740 0.394" Properties=species:S:1:pos:R:3 pbc="T T T"
Na -4.426 -2.028 4.675
Na -8.113 -4.949 3.427
Na -7.483 -3.746 -1.247
Na -3.796 -0.825 0.001
Tl 0.000 0.000 0.000
Tl -4.802 -4.257 1.517
Bi -5.242 -5.142 5.100
Bi -7.625 -6.501 0.616
Bi -4.363 -3.372 -2.066
Bi -1.980 -2.013 2.417
```

Calculated values
* symmetry: P4/mbm, No. 127
* DFT formation energy: -0.1572 eV/atom
* density of states at the Fermi level: 0.58 states/eV/atom

Below is crystalline NaTlBi at its relaxed geometry, with properties calculated at the PBE-GGA level.

Cell and atoms, written as extended XYZ:
```
3
Lattice="-2.262 1.462 2.323 -4.080 -2.850 -2.180 2.876 -2.084 4.112" Properties=species:S:1:pos:R:3 pbc="T T T"
Na -3.312 -1.593 1.510
Tl -0.009 0.006 0.009
Bi -0.145 -1.885 2.736
```

Calculated values
* symmetry: P3m1, No. 156
* DFT formation energy: -0.1929 eV/atom
* density of states at the Fermi level: 0.30 states/eV/atom

Below is crystalline Na6Tl3Bi at its relaxed geometry, with properties calculated at the PBE-GGA level.

Cell and atoms, written as extended XYZ:
```
20
Lattice="5.477 0.000 0.000 0.000 12.360 -2.457 0.000 -6.532 10.042" Properties=species:S:1:pos:R:3 pbc="T T T"
Na 4.108 2.482 4.740
Na 1.369 3.346 2.846
Na 4.108 9.107 -1.739
Na 1.369 -3.279 9.325
Na 4.108 5.342 -0.448
Na 1.369 0.486 8.034
Na 4.108 8.344 1.707
Na 1.369 -2.517 5.878
Na 4.108 -0.746 3.074
Na 1.369 6.574 4.512
Na 4.108 5.619 6.400
Na 1.369 0.209 1.185
Tl 4.108 -0.405 6.359
Tl 1.369 6.232 1.226
Tl 4.108 5.314 2.895
Tl 1.369 0.514 4.691
Tl 4.108 2.311 1.069
Tl 1.369 3.517 6.516
Bi 4.108 -3.749 7.463
Bi 1.369 9.577 0.123
```

Calculated values
* symmetry: P2_1/m, No. 11
* DFT formation energy: -0.1693 eV/atom
* density of states at the Fermi level: 0.41 states/eV/atom

Below is crystalline Na4Tl5Bi at its relaxed geometry, with properties calculated at the PBE-GGA level.

Cell and atoms, written as extended XYZ:
```
10
Lattice="4.387 0.000 -1.063 -0.984 9.647 -4.062 -0.155 -2.145 8.944" Properties=species:S:1:pos:R:3 pbc="T T T"
Na 1.326 -0.623 5.475
Na -0.105 2.560 -0.432
Na 1.921 8.124 -1.655
Na 3.353 4.941 4.252
Tl 3.268 1.614 3.904
Tl 2.706 6.671 1.585
Tl 0.541 0.830 2.234
Tl 1.546 2.678 6.382
Tl -0.020 5.887 -0.084
Bi 2.038 -2.145 8.413
```

Calculated values
* symmetry: C2/m, No. 12
* DFT formation energy: -0.0458 eV/atom
* density of states at the Fermi level: 0.45 states/eV/atom

Below is crystalline NaTl6Bi3 at its relaxed geometry, with properties calculated at the PBE-GGA level.

Cell and atoms, written as extended XYZ:
```
20
Lattice="6.208 0.000 0.083 0.000 9.706 0.000 0.571 0.000 11.255" Properties=species:S:1:pos:R:3 pbc="T T T"
Na 3.390 4.853 5.669
Na 0.000 0.000 0.000
Tl 3.434 8.149 10.407
Tl 3.215 8.155 6.403
Tl 2.590 6.866 2.770
Tl 4.189 2.840 8.568
Tl 3.564 1.551 4.935
Tl 3.345 1.557 0.931
Tl 6.252 6.410 4.821
Tl 6.033 6.404 0.817
Tl 5.980 7.693 8.439
Tl 0.799 2.013 2.899
Tl 0.746 3.302 10.521
Tl 0.527 3.296 6.517
Bi 1.805 0.762 8.412
Bi 3.104 4.853 0.042
Bi 4.974 8.944 2.926
Bi 4.623 4.091 2.826
Bi 0.286 0.000 5.628
Bi 2.156 5.615 8.512
```

Calculated values
* symmetry: P2_1/c, No. 14
* DFT formation energy: -0.0166 eV/atom
* density of states at the Fermi level: 0.41 states/eV/atom

Below is crystalline Na3Tl4Bi at its relaxed geometry, with properties calculated at the PBE-GGA level.

Cell and atoms, written as extended XYZ:
```
8
Lattice="4.429 -0.232 1.953 -0.251 4.719 1.112 2.533 -0.293 12.225" Properties=species:S:1:pos:R:3 pbc="T T T"
Na 0.987 4.038 4.238
Na 5.724 0.156 11.052
Na 2.089 2.244 1.532
Tl 3.331 1.563 4.657
Tl 3.380 2.631 10.633
Tl 4.571 0.885 7.762
Tl 2.140 3.309 7.527
Bi 0.000 0.000 0.000
```

Calculated values
* symmetry: P-1, No. 2
* DFT formation energy: -0.1570 eV/atom
* density of states at the Fermi level: 0.37 states/eV/atom

Below is crystalline Na4TlBi at its relaxed geometry, with properties calculated at the PBE-GGA level.

Cell and atoms, written as extended XYZ:
```
12
Lattice="5.304 -0.001 0.001 0.002 6.675 2.420 -0.001 0.198 9.869" Properties=species:S:1:pos:R:3 pbc="T T T"
Na 1.327 5.314 6.004
Na 1.328 6.391 3.148
Na 3.979 4.787 7.456
Na 3.978 3.783 10.340
Na 3.978 1.558 6.286
Na 1.326 2.085 4.833
Na 3.977 0.481 9.142
Na 1.327 3.089 1.950
Tl 3.978 0.838 2.894
Tl 1.327 6.034 9.396
Bi 3.979 4.248 3.903
Bi 1.326 2.624 8.386
```

Calculated values
* symmetry: Cmcm, No. 63
* DFT formation energy: -0.1956 eV/atom
* density of states at the Fermi level: 0.27 states/eV/atom

Below is crystalline Na3Tl6Bi at its relaxed geometry, with properties calculated at the PBE-GGA level.

Cell and atoms, written as extended XYZ:
```
20
Lattice="-2.185 -0.139 -4.363 -11.162 -3.259 5.694 5.548 12.002 -3.162" Properties=species:S:1:pos:R:3 pbc="T T T"
Na -2.474 7.848 -3.108
Na -5.325 0.755 1.278
Na -6.748 3.613 -0.832
Na -1.051 4.990 -0.998
Na -3.817 1.287 -2.226
Na -3.982 7.316 0.395
Tl -4.199 5.223 -2.160
Tl -3.600 3.380 0.330
Tl -10.718 -2.227 1.343
Tl 2.919 10.830 -3.173
Tl -0.420 10.566 -4.223
Tl -7.379 -1.963 2.393
Tl -8.593 0.447 0.193
Tl 0.794 8.156 -2.024
Tl -0.116 5.626 -4.218
Tl -7.683 2.978 2.388
Tl -7.176 7.198 -0.732
Tl -0.623 1.406 -1.098
Bi 1.759 8.320 -5.243
Bi -9.558 0.284 3.412
```

Calculated values
* symmetry: P2_1/m, No. 11
* DFT formation energy: -0.0718 eV/atom
* density of states at the Fermi level: 0.44 states/eV/atom

Below is crystalline NaTmTlBi at its relaxed geometry, with properties calculated at the PBE-GGA level.

Cell and atoms, written as extended XYZ:
```
4
Lattice="5.422 0.000 0.000 2.711 4.696 0.000 2.711 1.565 4.427" Properties=species:S:1:pos:R:3 pbc="T T T"
Na 8.133 4.696 3.320
Tl 0.000 0.000 0.000
Tm 2.711 1.565 1.107
Bi 5.422 3.131 2.214
```

Calculated values
* symmetry: F-43m, No. 216
* DFT formation energy: -0.2609 eV/atom
* density of states at the Fermi level: 0.74 states/eV/atom

Below is crystalline NaYTlBi at its relaxed geometry, with properties calculated at the PBE-GGA level.

Cell and atoms, written as extended XYZ:
```
4
Lattice="5.455 0.000 0.000 2.728 4.724 0.000 2.728 1.575 4.454" Properties=species:S:1:pos:R:3 pbc="T T T"
Y 8.183 4.724 3.341
Na 2.728 1.575 1.114
Tl 0.000 0.000 0.000
Bi 5.455 3.149 2.227
```

Calculated values
* symmetry: F-43m, No. 216
* DFT formation energy: -0.3060 eV/atom
* density of states at the Fermi level: 0.80 states/eV/atom

Below is crystalline Na2TlZnBi at its relaxed geometry, with properties calculated at the PBE-GGA level.

Cell and atoms, written as extended XYZ:
```
5
Lattice="6.109 0.000 0.000 0.000 5.675 0.000 0.000 0.000 6.109" Properties=species:S:1:pos:R:3 pbc="T T T"
Zn 3.054 2.837 3.054
Tl 0.000 0.000 0.000
Bi 0.000 2.837 0.000
Na 0.000 0.000 3.054
Na 3.054 0.000 0.000
```

Calculated values
* symmetry: P4/mmm, No. 123
* DFT formation energy: 0.2996 eV/atom
* density of states at the Fermi level: 0.43 states/eV/atom

Below is crystalline NaTm5Bi6 at its relaxed geometry, with properties calculated at the PBE-GGA level.

Cell and atoms, written as extended XYZ:
```
12
Lattice="7.614 0.188 1.158 1.872 6.474 3.774 0.124 0.058 7.744" Properties=species:S:1:pos:R:3 pbc="T T T"
Na 0.000 0.000 0.000
Tm 4.192 1.174 6.439
Tm 0.661 2.160 3.872
Tm 4.743 3.331 2.466
Tm 1.335 4.372 7.646
Tm 5.417 5.545 6.236
Bi 5.870 0.720 3.823
Bi 3.063 3.779 5.094
Bi 2.383 1.719 1.263
Bi 7.103 4.943 3.668
Bi 6.546 2.941 7.582
Bi 3.739 6.000 8.853
```

Calculated values
* symmetry: C2/m, No. 12
* DFT formation energy: -0.6273 eV/atom
* density of states at the Fermi level: 0.52 states/eV/atom

Which value of DFT formation energy does entry 5 give? -0.0166 eV/atom

Which value of density of states at the Fermi level does entry 10 give? 0.80 states/eV/atom